Density functional theory data (PBE+U) for a geometry-optimized Li2CeVO4 structure.

- VASP energy: -56.3 eV for the cell shown
- Mass density: 4895 kg/m3

Cell: 4.4911 4.4911 5.5268 Å, 113.97 113.97 90.00°
Sites, in units of the cell vectors:
Li: 0.2500 0.7500 0.5000
Li: 0.0000 0.0000 0.0000
Ce: 0.5000 0.5000 0.0000
V: 0.7500 0.2500 0.5000
O: 0.9873 0.4873 0.9747
O: 0.5127 0.0127 0.0253
O: 0.7496 0.7496 0.4993
O: 0.2504 0.2504 0.5007